Density functional theory data (GGA-PBE) for a relaxed structure of BaCuAg2.

Values from the calculation:
symmetry: F-43m, No. 216
total DFT energy (no corrections): -2.715 eV per atom

Cell: 5.2022 5.2022 5.2022 Å, 60.00 60.00 60.00°
Closest atoms and distances in Å follow each position.
Fractional positions:
Ba (0.0000, 0.0000, 0.0000)  4 Cu 3.19, 4 Ag 3.19
Cu (0.2500, 0.2500, 0.2500)  4 Ba 3.19, 4 Ag 3.19
Ag (0.5000, 0.5000, 0.5000)  4 Cu 3.19, 4 Ag 3.19
Ag (0.7500, 0.7500, 0.7500)  4 Ba 3.19, 4 Ag 3.19

=====

Density functional theory data (GGA-PBE) for a relaxed structure of Ba2CuAg.

Values from the calculation:
symmetry: Pmc2_1, No. 26
total DFT energy (no corrections): -2.740 eV per atom

Cell: 4.8199 6.6394 8.6630 Å, 90.00 90.00 90.00°
Closest atoms and distances in Å follow each position.
Fractional positions:
Ba (0.0000, 0.1136, 0.0000)  3 Ag 3.39-3.76, 4 Cu 3.47-3.50
Ba (0.0000, 0.8864, 0.5000)  3 Ag 3.39-3.76, 4 Cu 3.47-3.50
Ba (0.5000, 0.3812, 0.3628)  3 Cu 3.39-3.74, 4 Ag 3.49
Ba (0.5000, 0.6188, 0.8628)  3 Cu 3.39-3.74, 4 Ag 3.49
Cu (0.5000, 0.1471, 0.7134)  2 Ag 2.83
Cu (0.5000, 0.8529, 0.2134)  2 Ag 2.83
Ag (0.0000, 0.3558, 0.6530)  2 Cu 2.83
Ag (0.0000, 0.6442, 0.1530)  2 Cu 2.83

=====

Density functional theory data (GGA-PBE) for a relaxed structure of Ba2CuAgTe2F2.

Values from the calculation:
symmetry: P-4m2, No. 115
total DFT energy (no corrections): -4.479 eV per atom

Cell: 4.5117 4.5117 9.4376 Å, 90.00 90.00 90.00°
Closest atoms and distances in Å follow each position.
Fractional positions:
Ba (0.0000, 0.5000, 0.1533)  4 F 2.68
Ba (0.5000, 0.0000, 0.8467)  4 F 2.68
Cu (0.5000, 0.5000, 0.5000)  4 Te 2.80
Ag (0.0000, 0.0000, 0.5000)  4 Te 2.80
Te (0.0000, 0.5000, 0.6752)  2 Cu 2.80, 2 Ag 2.80
Te (0.5000, 0.0000, 0.3248)  2 Cu 2.80, 2 Ag 2.80
F (0.0000, 0.0000, 0.0000)  4 Ba 2.68
F (0.5000, 0.5000, 0.0000)  4 Ba 2.68

=====

Density functional theory data (GGA-PBE) for a relaxed structure of Ba2CuAgP2.

Values from the calculation:
symmetry: P-6m2, No. 187
total DFT energy (no corrections): -4.244 eV per atom

Cell: 4.3814 4.3814 9.1171 Å, 90.00 90.00 120.00°
Closest atoms and distances in Å follow each position.
Fractional positions:
Ba (0.0000, 0.0000, 0.2466)  3 Cu 3.38, 6 P 3.38-3.43, 3 Ag 3.43
Ba (0.0000, 0.0000, 0.7534)  3 Cu 3.38, 6 P 3.38-3.43, 3 Ag 3.43
Cu (0.3333, 0.6667, 0.0000)  3 P 2.53
Ag (0.6667, 0.3333, 0.5000)  3 P 2.53
P (0.3333, 0.6667, 0.5000)  3 Ag 2.53
P (0.6667, 0.3333, 0.0000)  3 Cu 2.53

=====

Density functional theory data (GGA-PBE) for a relaxed structure of BaCu2AgSb2.

Values from the calculation:
symmetry: P-3m1, No. 164
total DFT energy (no corrections): -3.718 eV per atom

Cell: 4.4888 4.4888 8.1480 Å, 90.00 90.00 120.00°
Closest atoms and distances in Å follow each position.
Fractional positions:
Ba (0.0000, 0.0000, 0.0000)  6 Sb 3.47
Cu (0.3333, 0.6667, 0.3672)  4 Sb 2.68-2.85, 3 Ag 2.81
Cu (0.6667, 0.3333, 0.6328)  4 Sb 2.68-2.85, 3 Ag 2.81
Ag (0.0000, 0.0000, 0.5000)  6 Cu 2.81, 6 Sb 3.14
Sb (0.3333, 0.6667, 0.7170)  4 Cu 2.68-2.85
Sb (0.6667, 0.3333, 0.2830)  4 Cu 2.68-2.85

=====

Density functional theory data (GGA-PBE) for a relaxed structure of BaDyAgS3.

Values from the calculation:
symmetry: P2_1/m, No. 11
total DFT energy (no corrections): -5.246 eV per atom

Cell: 8.3731 4.1144 9.2512 Å, 90.00 106.32 90.00°
Closest atoms and distances in Å follow each position.
Fractional positions:
Ba (0.2139, 0.2500, 0.2511)  7 S 3.19-3.38
Ba (0.7861, 0.7500, 0.7489)  7 S 3.19-3.38
Dy (0.3205, 0.7500, 0.8432)  6 S 2.74-2.79
Dy (0.6795, 0.2500, 0.1568)  6 S 2.74-2.79
Ag (0.0921, 0.2500, 0.5944)  4 S 2.53-2.78
Ag (0.9079, 0.7500, 0.4056)  4 S 2.53-2.78
S (0.1054, 0.2500, 0.8710)  1 Ag 2.53, 2 Dy 2.79
S (0.2515, 0.7500, 0.5318)  3 Ag 2.60-2.78, 1 Dy 2.77
S (0.4527, 0.7500, 0.1502)  3 Dy 2.74-2.79
S (0.5473, 0.2500, 0.8498)  3 Dy 2.74-2.79
S (0.7485, 0.2500, 0.4682)  3 Ag 2.60-2.78, 1 Dy 2.77
S (0.8946, 0.7500, 0.1290)  1 Ag 2.53, 2 Dy 2.79